# TlCr2BiO6 | Alexandria via LeMat-Bulk | PBE+U | relaxed
# Final energy in eV/atom: -6.508
# Space group: Cm, No. 8
data_TlCr2BiO6
_chemical_formula_sum 'Tl1 Cr2 Bi1 O6'
_cell_length_a 5.547
_cell_length_b 5.547
_cell_length_c 5.487
_cell_angle_alpha 119.56
_cell_angle_beta 119.56
_cell_angle_gamma 90.68
_symmetry_space_group_name_H-M 'P 1'
_symmetry_Int_Tables_number 1
_symmetry_space_group_name_Hall 'P 1'
loop_
_atom_site_label
_atom_site_type_symbol
_atom_site_fract_x
_atom_site_fract_y
_atom_site_fract_z
_atom_site_occupancy
Tl1 Tl 0.000 0.000 0.000 1
Cr1 Cr 0.237 0.731 0.501 1
Cr2 Cr 0.731 0.237 0.501 1
Bi1 Bi 0.498 0.498 0.042 1
O1 O 0.044 0.419 0.999 1
O2 O 0.419 0.044 0.999 1
O3 O 0.465 0.465 0.581 1
O4 O 0.555 0.924 0.513 1
O5 O 0.924 0.555 0.513 1
O6 O 0.965 0.965 0.363 1